[1]
A plane-wave DFT calculation with PBE was carried out for a relaxed structure of Tb3Tl3Hg2.

The structure belongs to space group Pmmm (No. 47); the cell edges are 5.099, 5.199 and 8.073 Å and the angles 90.00°, 90.00° and 90.00°. The asymmetric unit holds Tb at (0.000, 0.000, 0.000), Tb at (0.000, 0.000, 0.500), Tb at (0.500, 0.500, 0.000), Tl at (0.500, 0.000, 0.248), Tl at (0.500, 0.500, 0.500) and Hg at (0.000, 0.500, 0.242).

For the total energy, the calculation gives -3.010 eV/atom. The calculation puts the formation enthalpy at 0 K at -240 kJ/mol of formula units.



[2]
A plane-wave DFT calculation with PBE was carried out for a relaxed structure of LiMg3Ag.

The structure belongs to space group Pm-3m (No. 221); the cell edges are 5.147, 5.147 and 5.147 Å and the angles 90.00°, 90.00° and 90.00°. The asymmetric unit holds Li at (0.000, 0.000, 0.000), Mg at (0.000, 0.500, 0.500) and Ag at (0.500, 0.500, 0.500).

For the total energy, the calculation gives -1.774 eV/atom. The calculation puts the formation enthalpy at 0 K at 65 kJ/mol of formula units.



[3]
A plane-wave DFT calculation with PBE was carried out for a relaxed structure of Pm6Nd12Sc.

The structure belongs to space group R-3 (No. 148, hexagonal axes); the cell edges are 12.2682, 12.2682 and 15.2876 Å and the angles 90.00°, 90.00° and 120.00°. The asymmetric unit holds Pm at (0.0176, 0.4263, 0.1868), Nd at (0.0001, 0.1703, 0.3118), Nd at (0.0499, 0.8525, 0.9156) and Sc at (0.0000, 0.0000, 0.5000).

For the total energy, the calculation gives -4.715 eV/atom. The calculation puts the formation enthalpy at 0 K at 237 kJ/mol of formula units.



[4]
A plane-wave DFT calculation with PBE was carried out for a relaxed structure of K3UF3.

The structure belongs to space group P1 (No. 1); the cell edges are 6.424, 6.427 and 7.267 Å and the angles 114.09°, 114.24° and 92.84°. The asymmetric unit holds K at (0.000, 0.000, 0.000), K at (0.267, 0.738, 0.518), K at (0.720, 0.293, 0.502), U at (0.459, 0.517, 0.986), F at (0.149, 0.618, 0.804), F at (0.370, 0.399, 0.202) and F at (0.635, 0.627, 0.820).

For the total energy, the calculation gives -4.737 eV/atom. The value obtained for the formation energy (no corrections) is -1852 meV per atom.



[5]
A plane-wave DFT calculation with PBE was carried out for a relaxed structure of MnAl2Os3.

The structure belongs to space group Cmmm (No. 65); the cell edges are 4.239, 12.729 and 6.029 Å and the angles 90.00°, 90.00° and 90.00°. The asymmetric unit holds Mn at (0.000, 0.165, 0.000), Al at (0.000, 0.167, 0.500), Al at (0.000, 0.500, 0.000), Al at (0.000, 0.500, 0.500), Os at (0.000, 0.000, 0.248) and Os at (0.000, 0.332, 0.245).

For the total energy, the calculation gives -8.678 eV/atom. The calculation puts the formation enthalpy at 0 K at -166 kJ/mol of formula units.



[6]
A plane-wave DFT calculation with PBE was carried out for a relaxed structure of Nd5Th2Mg.

The structure belongs to space group Cmmm (No. 65); the cell edges are 10.012, 14.570 and 3.627 Å and the angles 90.00°, 90.00° and 90.00°. The asymmetric unit holds Nd at (0.000, 0.000, 0.000), Nd at (0.236, 0.374, 0.500), Th at (0.000, 0.240, 0.000) and Mg at (0.000, 0.500, 0.000).

For the total energy, the calculation gives -4.990 eV/atom. The calculation puts the formation enthalpy at 0 K at 34 kJ/mol of formula units.



[7]
A plane-wave DFT calculation with PBE was carried out for a relaxed structure of Na3GeTe.

The structure belongs to space group Pm-3m (No. 221); the cell edges are 5.871, 5.871 and 5.871 Å and the angles 90.00°, 90.00° and 90.00°. The asymmetric unit holds Na at (0.000, 0.000, 0.500), Ge at (0.500, 0.500, 0.500) and Te at (0.000, 0.000, 0.000).

For the total energy, the calculation gives -2.409 eV/atom. The value obtained for the formation energy (no corrections) is -65 meV per atom.



[8]
A plane-wave DFT calculation with PBE was carried out for a relaxed structure of Li2TlSb2.

The structure belongs to space group P4/mbm (No. 127); the cell edges are 8.853, 8.853 and 3.089 Å and the angles 90.00°, 90.00° and 90.00°. The asymmetric unit holds Li at (0.134, 0.366, 0.000), Tl at (0.000, 0.000, 0.500) and Sb at (0.158, 0.658, 0.500).

For the total energy, the calculation gives -3.172 eV/atom. The value obtained for the formation energy (no corrections) is -284 meV per atom.